# PBE GeBiPt, optimized geometry
data_GeBiPt
_chemical_formula_sum 'Ge1 Bi1 Pt1'
_space_group_name_H-M_alt 'P 1'
_space_group_IT_number 1
_cell_length_a 4.6117
_cell_length_b 4.6117
_cell_length_c 4.6117
_cell_angle_alpha 60.00
_cell_angle_beta 60.00
_cell_angle_gamma 60.00
loop_
_space_group_symop_operation_xyz
'x,y,z'
loop_
_atom_site_label
_atom_site_type_symbol
_atom_site_fract_x
_atom_site_fract_y
_atom_site_fract_z
_atom_site_occupancy
Ge1 Ge 0.0000 0.0000 0.0000 1
Bi1 Bi 0.5000 0.5000 0.5000 1
Pt1 Pt 0.7500 0.7500 0.7500 1
# Total energy: -0.184 Ha/atom
# Crystal system: cubic
# E_form: -0.173 eV per atom

# PBE Pu2Ge3BiPt4, optimized geometry
data_Pu2Ge3BiPt4
_chemical_formula_sum 'Pu2 Ge3 Bi1 Pt4'
_space_group_name_H-M_alt 'P 1'
_space_group_IT_number 1
_cell_length_a 4.2948
_cell_length_b 4.2948
_cell_length_c 11.1433
_cell_angle_alpha 90.00
_cell_angle_beta 90.00
_cell_angle_gamma 90.00
loop_
_space_group_symop_operation_xyz
'x,y,z'
loop_
_atom_site_label
_atom_site_type_symbol
_atom_site_fract_x
_atom_site_fract_y
_atom_site_fract_z
_atom_site_occupancy
Pu1 Pu 0.0000 0.5000 0.2315 1
Pu2 Pu 0.5000 0.0000 0.7685 1
Ge1 Ge 0.0000 0.5000 0.8762 1
Ge2 Ge 0.5000 0.0000 0.1238 1
Ge3 Ge 0.5000 0.5000 0.5000 1
Bi1 Bi 0.0000 0.0000 0.5000 1
Pt1 Pt 0.0000 0.0000 0.0000 1
Pt2 Pt 0.0000 0.5000 0.6593 1
Pt3 Pt 0.5000 0.0000 0.3407 1
Pt4 Pt 0.5000 0.5000 0.0000 1
# Total energy: -0.280 Ha/atom
# Crystal system: tetragonal
# E_form: -0.563 eV per atom

# PBE RbGeBiPt2, optimized geometry
data_RbGeBiPt2
_chemical_formula_sum 'Rb2 Ge2 Bi2 Pt4'
_space_group_name_H-M_alt 'P 1'
_space_group_IT_number 1
_cell_length_a 7.4283
_cell_length_b 4.3376
_cell_length_c 9.6054
_cell_angle_alpha 90.00
_cell_angle_beta 103.57
_cell_angle_gamma 90.00
loop_
_space_group_symop_operation_xyz
'x,y,z'
loop_
_atom_site_label
_atom_site_type_symbol
_atom_site_fract_x
_atom_site_fract_y
_atom_site_fract_z
_atom_site_occupancy
Rb1 Rb 0.0553 0.2500 0.2673 1
Rb2 Rb 0.9447 0.7500 0.7327 1
Ge1 Ge 0.2917 0.7500 0.5410 1
Ge2 Ge 0.7083 0.2500 0.4590 1
Bi1 Bi 0.3632 0.7500 0.0646 1
Bi2 Bi 0.6368 0.2500 0.9354 1
Pt1 Pt 0.4683 0.7500 0.7937 1
Pt2 Pt 0.4703 0.2500 0.5991 1
Pt3 Pt 0.5297 0.7500 0.4009 1
Pt4 Pt 0.5317 0.2500 0.2063 1
# Total energy: -0.171 Ha/atom
# Crystal system: monoclinic
# E_form: -0.347 eV per atom

# PBE ReGe2BiPt, optimized geometry
data_ReGe2BiPt
_chemical_formula_sum 'Re1 Ge2 Bi1 Pt1'
_space_group_name_H-M_alt 'P 1'
_space_group_IT_number 1
_cell_length_a 4.7279
_cell_length_b 4.7279
_cell_length_c 5.3603
_cell_angle_alpha 90.00
_cell_angle_beta 90.00
_cell_angle_gamma 90.00
loop_
_space_group_symop_operation_xyz
'x,y,z'
loop_
_atom_site_label
_atom_site_type_symbol
_atom_site_fract_x
_atom_site_fract_y
_atom_site_fract_z
_atom_site_occupancy
Re1 Re 0.0000 0.0000 0.0000 1
Ge1 Ge 0.0000 0.5000 0.5000 1
Ge2 Ge 0.5000 0.0000 0.5000 1
Bi1 Bi 0.5000 0.5000 0.0000 1
Pt1 Pt 0.0000 0.0000 0.5000 1
# Total energy: -0.199 Ha/atom
# Crystal system: tetragonal
# E_form: 0.910 eV per atom

# PBE ScGe2BiPt, optimized geometry
data_ScGe2BiPt
_chemical_formula_sum 'Sc1 Ge2 Bi1 Pt1'
_space_group_name_H-M_alt 'P 1'
_space_group_IT_number 1
_cell_length_a 5.4048
_cell_length_b 5.4048
_cell_length_c 5.0236
_cell_angle_alpha 90.00
_cell_angle_beta 90.00
_cell_angle_gamma 90.00
loop_
_space_group_symop_operation_xyz
'x,y,z'
loop_
_atom_site_label
_atom_site_type_symbol
_atom_site_fract_x
_atom_site_fract_y
_atom_site_fract_z
_atom_site_occupancy
Sc1 Sc 0.0000 0.0000 0.0000 1
Ge1 Ge 0.0000 0.5000 0.5000 1
Ge2 Ge 0.5000 0.0000 0.5000 1
Bi1 Bi 0.5000 0.5000 0.5000 1
Pt1 Pt 0.5000 0.5000 0.0000 1
# Total energy: -0.155 Ha/atom
# Crystal system: tetragonal
# E_form: 0.886 eV per atom

# PBE Ge2Bi2PtSe2, optimized geometry
data_Ge2Bi2PtSe2
_chemical_formula_sum 'Ge2 Bi2 Pt1 Se2'
_space_group_name_H-M_alt 'P 1'
_space_group_IT_number 1
_cell_length_a 3.8132
_cell_length_b 6.2948
_cell_length_c 8.0426
_cell_angle_alpha 76.91
_cell_angle_beta 76.65
_cell_angle_gamma 72.82
loop_
_space_group_symop_operation_xyz
'x,y,z'
loop_
_atom_site_label
_atom_site_type_symbol
_atom_site_fract_x
_atom_site_fract_y
_atom_site_fract_z
_atom_site_occupancy
Ge1 Ge 0.2430 0.1604 0.3516 1
Ge2 Ge 0.7570 0.8396 0.6484 1
Bi1 Bi 0.4777 0.3058 0.7412 1
Bi2 Bi 0.5223 0.6942 0.2588 1
Pt1 Pt 0.0000 0.5000 0.5000 1
Se1 Se 0.1898 0.7550 0.8693 1
Se2 Se 0.8102 0.2450 0.1307 1
# Total energy: -0.165 Ha/atom
# ΔE_f (raw): -210.5 meV per atom
# Crystal system: triclinic

Look up the total energy of the fifth one.
-0.155 Ha/atom

Number 4 is which compound?
ReGe2BiPt

Among the records above, which one has the lowest total energy?
Pu2Ge3BiPt4

What is the formula in the sixth record?
Ge2Bi2PtSe2